(1)
Material: ZrCu2Au
Method: DFT, PBE
State: optimized geometry

abc: 4.502 4.502 4.502
angles: 60.00 60.00 60.00
Fractional coordinates of all 4 atoms:
Cu  0.250  0.250  0.250
Cu  0.000  0.000  0.000
Zr  0.500  0.500  0.500
Au  0.750  0.750  0.750

Computed properties:
* formation enthalpy at 0 K: -0.206 eV per atom
* space group: F-43m, No. 216
* spin magnetization: 0.00 μB per cell

(2)
Material: YTm2Mg3Ir2Pt
Method: DFT, PBE
State: optimized geometry

abc: 4.015 7.296 7.296
angles: 120.23 90.00 90.00
Fractional coordinates of all 9 atoms:
Tm  0.000  0.411  0.000
Tm  0.000  0.000  0.411
Mg  0.500  0.250  0.250
Mg  0.500  0.751  0.000
Mg  0.500  0.000  0.751
Ir  0.500  0.329  0.668
Ir  0.500  0.668  0.329
Y  0.000  0.586  0.586
Pt  0.000  0.004  0.004

Computed properties:
* calculated total energy: -50.986 eV per cell
* space group: Amm2, No. 38
* spin magnetization: 0.00 μB per cell

(3)
Material: Sm2Ge5Pt3
Method: DFT, PBE
State: optimized geometry

abc: 6.320 8.459 8.459
angles: 105.18 68.07 111.93
Fractional coordinates of all 20 atoms:
Pt  0.639  0.750  0.473
Pt  0.861  0.473  0.750
Pt  0.361  0.250  0.527
Pt  0.250  0.000  0.000
Pt  0.750  0.000  0.000
Pt  0.139  0.527  0.250
Ge  0.605  0.950  0.740
Ge  0.978  0.228  0.772
Ge  0.250  0.500  0.500
Ge  0.522  0.772  0.228
Ge  0.022  0.772  0.228
Ge  0.895  0.740  0.950
Ge  0.105  0.260  0.050
Ge  0.750  0.500  0.500
Ge  0.395  0.050  0.260
Ge  0.478  0.228  0.772
Sm  0.369  0.598  0.861
Sm  0.869  0.139  0.402
Sm  0.631  0.402  0.139
Sm  0.131  0.861  0.598

Computed properties:
* calculated total energy: -117.663 eV per cell
* space group: Ibam, No. 72
* spin magnetization: 0.00 μB per cell

(4)
Material: NbFeCo2
Method: DFT, PBE
State: optimized geometry

abc: 4.132 4.132 4.132
angles: 60.00 60.00 60.00
Fractional coordinates of all 4 atoms:
Co  0.750  0.750  0.750
Co  0.000  0.000  0.000
Nb  0.500  0.500  0.500
Fe  0.250  0.250  0.250

Computed properties:
* formation enthalpy at 0 K: 0.053 eV per atom
* space group: F-43m, No. 216
* spin magnetization: 2.97 μB per cell

(5)
Material: BaCdSn2Hg
Method: DFT, PBE
State: optimized geometry

abc: 4.965 4.965 12.275
angles: 90.00 90.00 90.00
Fractional coordinates of all 10 atoms:
Hg  0.000  0.500  0.636
Hg  0.500  0.000  0.364
Cd  0.000  0.000  0.000
Cd  0.500  0.500  0.000
Sn  0.000  0.500  0.866
Sn  0.000  0.000  0.500
Sn  0.500  0.500  0.500
Sn  0.500  0.000  0.134
Ba  0.500  0.000  0.753
Ba  0.000  0.500  0.247

Computed properties:
* energy above the most stable polymorph in this dataset: 0.0000 eV per atom
* space group: P4/nmm, No. 129

(6)
Material: AcSn2Ir
Method: DFT, PBE
State: optimized geometry

abc: 7.771 4.679 11.793
angles: 90.00 90.00 90.00
Fractional coordinates of all 16 atoms:
Sn  0.638  0.250  0.062
Sn  0.142  0.250  0.843
Sn  0.362  0.750  0.938
Sn  0.642  0.250  0.657
Sn  0.862  0.750  0.562
Sn  0.858  0.750  0.157
Sn  0.138  0.250  0.438
Sn  0.358  0.750  0.343
Ac  0.309  0.750  0.637
Ac  0.191  0.250  0.137
Ac  0.691  0.250  0.363
Ac  0.809  0.750  0.863
Ir  0.494  0.250  0.856
Ir  0.506  0.750  0.144
Ir  0.994  0.250  0.644
Ir  0.006  0.750  0.356

Computed properties:
* calculated total energy: -93.801 eV per cell
* space group: Pnma, No. 62
* spin magnetization: 0.01 μB per cell